# 1
# Sr2IrPb

A geometry-optimized Sr2IrPb structure (PBEsol, Alexandria via LeMat-Bulk).

The structure in POSCAR format:
```
Sr2IrPb
1.0
1.915 1.106 9.431
-1.915 1.106 9.431
0.000 -2.211 9.431
Sr Ir Pb
2 1 1
direct
0.235 0.235 0.235 Sr
0.765 0.765 0.765 Sr
0.500 0.500 0.500 Ir
0.000 0.000 0.000 Pb
```

Summary:
**Final energy**: -17.174 eV per formula unit
**Size of the total moment**: 0.0 μB per cell

---

# 2
# TaMoW2

A geometry-optimized TaMoW2 structure (PBEsol, Alexandria via LeMat-Bulk).

The structure in POSCAR format:
```
TaMoW2
1.0
0.000 3.173 3.173
3.173 0.000 3.173
3.173 3.173 0.000
Ta Mo W
1 1 2
direct
0.000 0.000 0.000 Ta
0.750 0.750 0.750 Mo
0.250 0.250 0.250 W
0.500 0.500 0.500 W
```

Summary:
**Energy above the lowest structure with this stoichiometry**: 2 meV/atom
**Size of the total moment**: 0.0 μB per cell

---

# 3
# Rb9O2

A geometry-optimized Rb9O2 structure (PBEsol, Alexandria via LeMat-Bulk).

The structure in POSCAR format:
```
Rb9O2
1.0
8.236 0.000 0.000
0.000 13.751 0.000
-2.876 0.000 11.147
Rb O
18 4
direct
0.026 0.250 0.393 Rb
0.060 0.621 0.316 Rb
0.060 0.879 0.316 Rb
0.156 0.250 0.995 Rb
0.269 0.608 0.039 Rb
0.269 0.892 0.039 Rb
0.393 0.608 0.636 Rb
0.393 0.892 0.636 Rb
0.437 0.750 0.343 Rb
0.563 0.250 0.657 Rb
0.607 0.108 0.364 Rb
0.607 0.392 0.364 Rb
0.731 0.108 0.961 Rb
0.731 0.392 0.961 Rb
0.844 0.750 0.005 Rb
0.940 0.121 0.684 Rb
0.940 0.379 0.684 Rb
0.974 0.750 0.607 Rb
0.151 0.750 0.155 O
0.223 0.750 0.496 O
0.777 0.250 0.504 O
0.849 0.250 0.845 O
```

Summary:
**Final energy**: -25.877 eV per formula unit
**Size of the total moment**: 0.0 μB per cell

---

# 4
# MgAgGe3

A geometry-optimized MgAgGe3 structure (PBEsol, Alexandria via LeMat-Bulk).

The structure in POSCAR format:
```
MgAgGe3
1.0
4.906 0.000 0.000
0.000 4.906 0.000
0.000 0.000 4.906
Mg Ag Ge
1 1 3
direct
0.000 0.000 0.000 Mg
0.500 0.500 0.500 Ag
0.000 0.000 0.500 Ge
0.000 0.500 0.000 Ge
0.500 0.000 0.000 Ge
```

Summary:
**Final energy**: -15.610 eV per formula unit
**Size of the total moment**: 0.0 μB per cell

---

# 5
# RbHfOsS2

A geometry-optimized RbHfOsS2 structure (PBEsol, Alexandria via LeMat-Bulk).

The structure in POSCAR format:
```
RbHfOsS2
1.0
4.904 0.000 0.000
0.000 4.904 0.000
0.000 0.000 4.843
Rb Hf Os S
1 1 1 2
direct
0.000 0.000 0.000 Rb
0.500 0.500 0.000 Hf
0.500 0.500 0.500 Os
0.000 0.500 0.500 S
0.500 0.000 0.500 S
```

Summary:
**Final energy**: -30.509 eV per formula unit
**Size of the total moment**: 0.0 μB per cell

---

# 6
# TcTeSe

A geometry-optimized TcTeSe structure (PBEsol, Alexandria via LeMat-Bulk).

The structure in POSCAR format:
```
TcTeSe
1.0
0.000 3.114 3.114
3.114 0.000 3.114
3.114 3.114 0.000
Tc Te Se
1 1 1
direct
0.000 0.000 0.000 Tc
0.750 0.750 0.750 Te
0.250 0.250 0.250 Se
```

Summary:
**Final energy**: -18.690 eV per formula unit
**Size of the total moment**: 0.0 μB per cell